# LiHfTh2P4

LiHfTh2P4 after structural relaxation (GGA-PBE, the Alexandria database).

Lattice parameters (Å, degrees): 6.6287 4.0142 7.0097 90.00 110.08 90.00
Last column: nearest neighbours and their distance in Å.
Element x y z (fractional)
Li 0.0000 0.0000 0.0000  6 P 2.73-2.75
Hf 0.0000 0.5000 0.5000  6 P 2.68-2.70
Th 0.5000 0.0000 0.5000  6 P 2.86-2.87
Th 0.5000 0.5000 0.0000  6 P 2.91
P 0.2237 0.0000 0.7378  2 Hf 2.70, 1 Li 2.73, 3 Th 2.87-2.91
P 0.2288 0.5000 0.2508  1 Hf 2.68, 2 Li 2.75, 3 Th 2.86-2.91
P 0.7712 0.5000 0.7492  1 Hf 2.68, 2 Li 2.75, 3 Th 2.86-2.91
P 0.7763 0.0000 0.2622  2 Hf 2.70, 1 Li 2.73, 3 Th 2.87-2.91

volume	175.2	Å³/f.u.
symmetry	P2/m, No. 10
formation enthalpy at 0 K	-1172	meV/atom


# TaAlSe2N

TaAlSe2N after structural relaxation (GGA-PBE, the Alexandria database).

Lattice parameters (Å, degrees): 4.9771 4.9771 3.4643 90.00 90.00 90.00
Last column: nearest neighbours and their distance in Å.
Element x y z (fractional)
Ta 0.0000 0.0000 0.0000  8 Se 3.03
Al 0.5000 0.5000 0.5000  2 N 1.73
Se 0.0000 0.5000 0.5000  2 Al 2.49
Se 0.5000 0.0000 0.5000  2 Al 2.49
N 0.5000 0.5000 0.0000  2 Al 1.73

volume	85.8	Å³/f.u.
symmetry	P4/mmm, No. 123
relative energy among the computed polymorphs	0.489	eV per atom


# RhWCl4

RhWCl4 after structural relaxation (GGA-PBE, the Alexandria database).

Lattice parameters (Å, degrees): 5.5828 5.5828 5.5828 60.00 60.00 60.00
Last column: nearest neighbours and their distance in Å.
Element x y z (fractional)
Rh 0.0000 0.0000 0.0000  12 Cl 3.27, 4 W 3.42
W 0.7500 0.7500 0.7500  12 Cl 3.27, 4 Rh 3.42
Cl 0.3751 0.3751 0.3751  6 Cl 2.79
Cl 0.3751 0.3751 0.8748  6 Cl 2.79
Cl 0.3751 0.8748 0.3751  6 Cl 2.79
Cl 0.8748 0.3751 0.3751  6 Cl 2.79

volume	123.0	Å³/f.u.
symmetry	F-43m, No. 216
final energy	-17.79	eV/cell


# TaHI2

TaHI2 after structural relaxation (GGA-PBE, the Alexandria database).

Lattice parameters (Å, degrees): 8.1634 8.1634 8.1634 154.13 153.33 37.49
Last column: nearest neighbours and their distance in Å.
Element x y z (fractional)
Ta 0.0000 0.0000 0.0000  2 H 1.88
H 0.5000 0.0000 0.5000  2 Ta 1.88
I 0.1353 0.6353 0.5000  2 Ta 2.78
I 0.8647 0.3647 0.5000  2 Ta 2.78

volume	106.4	Å³/f.u.
symmetry	Immm, No. 71
final energy	-18.35	eV/cell


> The lowest volume belongs to which entry?

TaAlSe2N


> Which value of volume does entry 3 give?

123.0 Å³/f.u.


> Which formula does entry 3 have?

RhWCl4